This record from Alexandria via LeMat-Bulk describes a relaxed structure of BaZrRe. The functional is GGA-PBE.

Computed properties:
As for the energy of formation from the pure elements: 0.508 eV/atom. The energy above the most stable polymorph in this dataset comes out at 0 meV/atom. Its space-group type is I4mm. As for the total moment: 0.000 μB per formula unit.

a = 7.3384 Å, b = 7.3384 Å, c = 7.3384 Å
α = 152.61°, β = 152.61°, γ = 39.13°
Sites, in units of the cell vectors:
Ba: 0.0000 0.0000 0.0000
Zr: 0.2568 0.2568 0.0000
Re: 0.6673 0.6673 0.0000

---

This record from Alexandria via LeMat-Bulk describes a relaxed structure of RbPIr2S. The functional is GGA-PBE.

Computed properties:
Its space-group type is P4/mmm. The value obtained for the raw formation energy is 0.481 eV/atom. As for the total moment: 0.000 μB per formula unit.

a = 4.4599 Å, b = 4.4599 Å, c = 5.4430 Å
α = 90.00°, β = 90.00°, γ = 90.00°
Sites, in units of the cell vectors:
Rb: 0.0000 0.0000 0.0000
P: 0.5000 0.5000 0.5000
Ir: 0.0000 0.5000 0.5000
Ir: 0.5000 0.0000 0.5000
S: 0.5000 0.5000 0.0000

---

This record from Alexandria via LeMat-Bulk describes a relaxed structure of Nd14ErSc. The functional is GGA-PBE.

Computed properties:
As for the energy of formation from the pure elements: 0.022 eV/atom. Its space-group type is Amm2. As for the total moment: 0.001 μB per formula unit.

a = 10.2974 Å, b = 7.2914 Å, c = 7.2914 Å
α = 90.00°, β = 90.00°, γ = 90.00°
Sites, in units of the cell vectors:
Nd: 0.0000 0.9995 0.9995
Nd: 0.0000 0.0003 0.4992
Nd: 0.0000 0.4992 0.0003
Nd: 0.0000 0.5000 0.5000
Nd: 0.2552 0.2477 0.2477
Nd: 0.2548 0.2479 0.7515
Nd: 0.2548 0.7515 0.2479
Nd: 0.2545 0.7518 0.7518
Nd: 0.5000 0.5004 0.9992
Nd: 0.5000 0.9992 0.5004
Nd: 0.7448 0.2477 0.2477
Nd: 0.7452 0.2479 0.7515
Nd: 0.7452 0.7515 0.2479
Nd: 0.7455 0.7518 0.7518
Er: 0.5000 0.4996 0.4996
Sc: 0.5000 0.9999 0.9999

---

This record from Alexandria via LeMat-Bulk describes a relaxed structure of TiAl2Fe. The functional is GGA-PBE.

Computed properties:
As for the energy of formation from the pure elements: 0.165 eV/atom. Its space-group type is I-42d. As for the total moment: 0.901 μB per formula unit.

a = 9.6480 Å, b = 9.6480 Å, c = 9.6480 Å
α = 157.95°, β = 157.95°, γ = 31.38°
Sites, in units of the cell vectors:
Ti: 0.0000 0.0000 0.0000
Ti: 0.7500 0.2500 0.5000
Al: 0.1331 0.6250 0.0081
Al: 0.3750 0.3831 0.5081
Al: 0.6169 0.1250 0.9919
Al: 0.8750 0.8669 0.4919
Fe: 0.2500 0.7500 0.5000
Fe: 0.5000 0.5000 0.0000

---

This record from Alexandria via LeMat-Bulk describes a relaxed structure of Sr2AsPd4. The functional is GGA-PBE.

Computed properties:
As for the energy of formation from the pure elements: -0.410 eV/atom. Its space-group type is I4/mmm. As for the total moment: 0.000 μB per formula unit.

a = 8.4978 Å, b = 8.4978 Å, c = 8.4978 Å
α = 147.39°, β = 147.39°, γ = 46.79°
Sites, in units of the cell vectors:
Sr: 0.1441 0.1441 0.0000
Sr: 0.8559 0.8559 0.0000
As: 0.5000 0.5000 0.0000
Pd: 0.0000 0.5000 0.5000
Pd: 0.3455 0.3455 0.0000
Pd: 0.5000 0.0000 0.5000
Pd: 0.6545 0.6545 0.0000

---

This record from Alexandria via LeMat-Bulk describes a relaxed structure of Ba2TeN2. The functional is GGA-PBE.

Computed properties:
Its space-group type is C2/m. The value obtained for the raw formation energy is -0.956 eV/atom. As for the total moment: 0.361 μB per formula unit.

a = 4.6597 Å, b = 4.6597 Å, c = 8.3433 Å
α = 109.58°, β = 109.58°, γ = 59.47°
Sites, in units of the cell vectors:
Ba: 0.2258 0.2258 0.2185
Ba: 0.7742 0.7742 0.7815
Te: 0.0000 0.0000 0.5000
N: 0.4487 0.4487 0.0384
N: 0.5513 0.5513 0.9616

---

This record from Alexandria via LeMat-Bulk describes a relaxed structure of Si3B. The functional is GGA-PBE.

Computed properties:
The energy above the most stable polymorph in this dataset comes out at 0 meV/atom. Its space-group type is P6_3/mmc. The value obtained for the raw formation energy is 0.942 eV/atom. As for the total moment: 0.000 μB per formula unit.

a = 5.0148 Å, b = 5.0148 Å, c = 4.4542 Å
α = 90.00°, β = 90.00°, γ = 120.00°
Sites, in units of the cell vectors:
Si: 0.1689 0.3377 0.2500
Si: 0.1689 0.8311 0.2500
Si: 0.3377 0.1689 0.7500
Si: 0.6623 0.8311 0.2500
Si: 0.8311 0.1689 0.7500
Si: 0.8311 0.6623 0.7500
B: 0.3333 0.6667 0.7500
B: 0.6667 0.3333 0.2500

---

This record from Alexandria via LeMat-Bulk describes a relaxed structure of LiTi2Be2. The functional is GGA-PBE.

Computed properties:
As for the energy of formation from the pure elements: 0.136 eV/atom. The energy above the most stable polymorph in this dataset comes out at 0 meV/atom. Its space-group type is P4/mbm. As for the total moment: 0.000 μB per formula unit.

a = 6.9686 Å, b = 6.9686 Å, c = 2.7936 Å
α = 90.00°, β = 90.00°, γ = 90.00°
Sites, in units of the cell vectors:
Li: 0.0000 0.0000 0.0000
Li: 0.5000 0.5000 0.0000
Ti: 0.1772 0.3228 0.5000
Ti: 0.3228 0.8228 0.5000
Ti: 0.6772 0.1772 0.5000
Ti: 0.8228 0.6772 0.5000
Be: 0.1116 0.6116 0.0000
Be: 0.3884 0.1116 0.0000
Be: 0.6116 0.8884 0.0000
Be: 0.8884 0.3884 0.0000

---

This record from Alexandria via LeMat-Bulk describes a relaxed structure of P2WCl. The functional is GGA-PBE.

Computed properties:
The energy above the most stable polymorph in this dataset comes out at 0 meV/atom. Its space-group type is Cm. The value obtained for the raw formation energy is -0.131 eV/atom. As for the total moment: 0.000 μB per formula unit.

a = 4.5337 Å, b = 4.5337 Å, c = 7.4041 Å
α = 102.31°, β = 102.31°, γ = 41.89°
Sites, in units of the cell vectors:
P: 0.0000 0.0000 0.0000
P: 0.1517 0.1517 0.7973
W: 0.4342 0.4342 0.7397
Cl: 0.8182 0.8182 0.4860

---

This record from Alexandria via LeMat-Bulk describes a relaxed structure of Ho6InIr2. The functional is GGA-PBE.

Computed properties:
As for the energy of formation from the pure elements: -0.624 eV/atom. Its space-group type is Immm. As for the total moment: 0.000 μB per formula unit.

a = 8.4747 Å, b = 8.4747 Å, c = 8.4747 Å
α = 113.03°, β = 111.44°, γ = 104.08°
Sites, in units of the cell vectors:
Ho: 0.0342 0.2389 0.7953
Ho: 0.1822 0.2872 0.4695
Ho: 0.1822 0.7128 0.8950
Ho: 0.3311 0.0226 0.6915
Ho: 0.3311 0.6395 0.3085
Ho: 0.4436 0.2389 0.2047
Ho: 0.5564 0.7611 0.7953
Ho: 0.6689 0.3605 0.6915
Ho: 0.6689 0.9774 0.3085
Ho: 0.8178 0.2872 0.1050
Ho: 0.8178 0.7128 0.5305
Ho: 0.9658 0.7611 0.2047
In: 0.0000 0.0000 0.0000
In: 0.5000 0.5000 0.0000
Ir: 0.1317 0.6317 0.5000
Ir: 0.3314 0.0000 0.3314
Ir: 0.6686 0.0000 0.6686
Ir: 0.8683 0.3683 0.5000

---

This record from Alexandria via LeMat-Bulk describes a relaxed structure of ReSN2O. The functional is GGA-PBE.

Computed properties:
Its space-group type is P4/mmm. The value obtained for the raw formation energy is 0.694 eV/atom. As for the total moment: 0.673 μB per formula unit.

a = 3.9773 Å, b = 3.9773 Å, c = 3.7854 Å
α = 90.00°, β = 90.00°, γ = 90.00°
Sites, in units of the cell vectors:
Re: 0.0000 0.0000 0.0000
S: 0.5000 0.5000 0.5000
N: 0.0000 0.5000 0.0000
N: 0.5000 0.0000 0.0000
O: 0.0000 0.0000 0.5000

---

This record from Alexandria via LeMat-Bulk describes a relaxed structure of VPRuCl2. The functional is GGA-PBE.

Computed properties:
The energy above the most stable polymorph in this dataset comes out at 175 meV/atom. Its space-group type is P4/mmm. The value obtained for the raw formation energy is 0.767 eV/atom. As for the total moment: 0.265 μB per formula unit.

a = 4.8723 Å, b = 4.8723 Å, c = 4.4715 Å
α = 90.00°, β = 90.00°, γ = 90.00°
Sites, in units of the cell vectors:
V: 0.0000 0.0000 0.0000
P: 0.5000 0.5000 0.0000
Ru: 0.5000 0.5000 0.5000
Cl: 0.0000 0.5000 0.5000
Cl: 0.5000 0.0000 0.5000